Density functional theory data (PBE-GGA) for crystalline Mg4AlPb at its relaxed geometry.

Results
- E_form: 0.823 eV per formula unit
- Excess energy over the best structure of this formula in the dataset: 126.3 meV per atom
- DOS(E_F): 1.807 states/eV/f.u.

a = 5.8669 Å, b = 5.8669 Å, c = 5.8669 Å
α = 60.00°, β = 60.00°, γ = 60.00°
Positions (direct):
1 Mg 0.3747 0.3747 0.8759
2 Mg 0.8759 0.3747 0.3747
3 Pb 0.7500 0.7500 0.7500
4 Mg 0.3747 0.3747 0.3747
5 Mg 0.3747 0.8759 0.3747
6 Al 0.0000 0.0000 0.0000

=====

Density functional theory data (PBE-GGA) for crystalline MgAl3Pb at its relaxed geometry.

Results
- E_form: 3.732 eV per formula unit
- Excess energy over the best structure of this formula in the dataset: 0.0 meV per atom
- DOS(E_F): 3.723 states/eV/f.u.

a = 5.1373 Å, b = 5.1373 Å, c = 5.1373 Å
α = 90.00°, β = 90.00°, γ = 90.00°
Positions (direct):
1 Mg 0.0000 0.0000 0.0000
2 Pb 0.5000 0.5000 0.5000
3 Al 0.5000 0.0000 0.0000
4 Al 0.0000 0.0000 0.5000
5 Al 0.0000 0.5000 0.0000

=====

Density functional theory data (PBE-GGA) for crystalline Mg4AlPb at its relaxed geometry.

Results
- E_form: 0.065 eV per formula unit
- Excess energy over the best structure of this formula in the dataset: 0.0 meV per atom
- DOS(E_F): 2.081 states/eV/f.u.

a = 5.4113 Å, b = 7.6322 Å, c = 8.3730 Å
α = 117.11°, β = 109.07°, γ = 90.00°
Positions (direct):
1 Mg 0.0000 0.8112 0.0000
2 Pb 0.8042 0.8053 0.6106
3 Mg 0.6242 0.3575 0.2500
4 Mg 0.3758 0.1076 0.7500
5 Al 0.2598 0.5002 0.0004
6 Mg 0.1801 0.6808 0.3616
7 Mg 0.3758 0.6425 0.7500
8 Mg 0.0000 0.1888 0.0000
9 Pb 0.1958 0.1947 0.3894
10 Al 0.7402 0.4998 0.9996
11 Mg 0.8199 0.3192 0.6384
12 Mg 0.6242 0.8924 0.2500